## Na2NbTc (PBE-GGA)

Data for an optimized crystal structure of Na2NbTc.

Values from the calculation:
The formation energy comes out at 5.37 eV/f.u. The calculated total energy is -4.427 eV per atom. The density of states at the Fermi level comes out at 4.6 states/eV/f.u. For the excess energy over the best structure of this formula in the dataset, the calculation gives 0 meV/atom.

Unit cell a=6.387 b=6.387 c=6.387 alpha=98.40 beta=98.40 gamma=135.07
Fractional positions:
1 Na 0.103 0.125 0.478
2 Na 0.375 0.897 0.022
3 Na 0.647 0.625 0.522
4 Na 0.875 0.353 0.978
5 Nb 0.250 0.750 0.500
6 Nb 0.500 0.500 0.000
7 Tc 0.000 0.000 0.000
8 Tc 0.750 0.250 0.500